No. 1
# PBE GdAgHg, relaxed
data_GdAgHg
_chemical_formula_sum 'Gd1 Ag1 Hg1'
_cell_length_a 4.9203
_cell_length_b 4.9203
_cell_length_c 4.9203
_cell_angle_alpha 60.00
_cell_angle_beta 60.00
_cell_angle_gamma 60.00
_space_group_name_H-M_alt 'P 1'
_space_group_IT_number 1
_space_group_name_Hall 'P 1'
loop_
_atom_site_label
_atom_site_fract_x
_atom_site_fract_y
_atom_site_fract_z
Ag1 0.2500 0.2500 0.2500
Hg1 0.7500 0.7500 0.7500
Gd1 0.0000 0.0000 0.0000
# Offset from the most stable computed form, meV/atom: 372
# Magnetization, μB per formula unit: 0.017
# Space group: F-43m
# Energy relative to the elements, eV/atom: -0.003


No. 2
# PBE GdAgHg, relaxed
data_GdAgHg
_chemical_formula_sum 'Gd1 Ag1 Hg1'
_cell_length_a 4.8970
_cell_length_b 4.8970
_cell_length_c 3.3609
_cell_angle_alpha 90.00
_cell_angle_beta 90.00
_cell_angle_gamma 120.00
_space_group_name_H-M_alt 'P 1'
_space_group_IT_number 1
_space_group_name_Hall 'P 1'
loop_
_atom_site_label
_atom_site_fract_x
_atom_site_fract_y
_atom_site_fract_z
Gd1 0.0000 0.0000 0.3335
Ag1 0.3333 0.6667 0.8326
Hg1 0.6667 0.3333 0.8339
# Offset from the most stable computed form, meV/atom: 0
# Magnetization, μB per formula unit: 0.000
# Space group: P-6m2
# Energy relative to the elements, eV/atom: -0.375


No. 3
# PBE GdAgHg, relaxed
data_GdAgHg
_chemical_formula_sum 'Gd1 Ag1 Hg1'
_cell_length_a 4.8197
_cell_length_b 4.8197
_cell_length_c 4.8197
_cell_angle_alpha 60.00
_cell_angle_beta 60.00
_cell_angle_gamma 60.00
_space_group_name_H-M_alt 'P 1'
_space_group_IT_number 1
_space_group_name_Hall 'P 1'
loop_
_atom_site_label
_atom_site_fract_x
_atom_site_fract_y
_atom_site_fract_z
Hg1 0.7500 0.7500 0.7500
Gd1 0.2500 0.2500 0.2500
Ag1 0.0000 0.0000 0.0000
# Offset from the most stable computed form, meV/atom: 180
# Magnetization, μB per formula unit: 0.428
# Space group: F-43m
# Energy relative to the elements, eV/atom: -0.195


No. 4
# PBE GdAgHg, relaxed
data_GdAgHg
_chemical_formula_sum 'Gd3 Ag3 Hg3'
_cell_length_a 7.9779
_cell_length_b 7.9779
_cell_length_c 3.8248
_cell_angle_alpha 90.00
_cell_angle_beta 90.00
_cell_angle_gamma 120.00
_space_group_name_H-M_alt 'P 1'
_space_group_IT_number 1
_space_group_name_Hall 'P 1'
loop_
_atom_site_label
_atom_site_fract_x
_atom_site_fract_y
_atom_site_fract_z
Gd1 0.0000 0.3967 0.5000
Gd2 0.6033 0.6033 0.5000
Gd3 0.3967 0.0000 0.5000
Ag1 0.0000 0.0000 0.5000
Ag2 0.6667 0.3333 0.0000
Ag3 0.3333 0.6667 0.0000
Hg1 0.0000 0.7251 0.0000
Hg2 0.2749 0.2749 0.0000
Hg3 0.7251 0.0000 0.0000
# Offset from the most stable computed form, meV/atom: 3
# Magnetization, μB per formula unit: 0.001
# Space group: P-62m
# Energy relative to the elements, eV/atom: -0.373


No. 5
# PBE Gd2HoIn3AgIr2, relaxed
data_Gd2HoIn3AgIr2
_chemical_formula_sum 'Gd2 Ho1 In3 Ag1 Ir2'
_cell_length_a 3.8696
_cell_length_b 7.7101
_cell_length_c 7.7101
_cell_angle_alpha 119.86
_cell_angle_beta 90.00
_cell_angle_gamma 90.00
_space_group_name_H-M_alt 'P 1'
_space_group_IT_number 1
_space_group_name_Hall 'P 1'
loop_
_atom_site_label
_atom_site_fract_x
_atom_site_fract_y
_atom_site_fract_z
In1 0.5000 0.0012 0.2676
In2 0.5000 0.2676 0.0012
In3 0.5000 0.7311 0.7311
Ag1 0.0000 0.0009 0.0009
Gd1 0.0000 0.5876 0.0000
Gd2 0.0000 0.0000 0.5876
Ir1 0.5000 0.6650 0.3338
Ir2 0.5000 0.3338 0.6650
Ho1 0.0000 0.4127 0.4127
# Energy, eV/atom: -5.35
# Magnetization, μB per formula unit: 0.014
# Space group: Amm2


No. 6
# PBE GdHo2In3AgIr2, relaxed
data_GdHo2In3AgIr2
_chemical_formula_sum 'Gd1 Ho2 In3 Ag1 Ir2'
_cell_length_a 3.8468
_cell_length_b 7.7123
_cell_length_c 7.7123
_cell_angle_alpha 120.11
_cell_angle_beta 90.00
_cell_angle_gamma 90.00
_space_group_name_H-M_alt 'P 1'
_space_group_IT_number 1
_space_group_name_Hall 'P 1'
loop_
_atom_site_label
_atom_site_fract_x
_atom_site_fract_y
_atom_site_fract_z
In1 0.5000 0.2681 0.9990
In2 0.5000 0.9990 0.2681
In3 0.5000 0.7330 0.7330
Ir1 0.5000 0.3329 0.6681
Ir2 0.5000 0.6681 0.3329
Ho1 0.0000 0.0000 0.5873
Ho2 0.0000 0.5873 0.0000
Ag1 0.0000 0.9992 0.9992
Gd1 0.0000 0.4125 0.4125
# Energy, eV/atom: -5.34
# Magnetization, μB per formula unit: 0.014
# Space group: Amm2


No. 7
# PBE GdHo2In3Ni2Ag, relaxed
data_GdHo2In3Ni2Ag
_chemical_formula_sum 'Gd1 Ho2 In3 Ni2 Ag1'
_cell_length_a 3.8915
_cell_length_b 7.5532
_cell_length_c 7.5532
_cell_angle_alpha 120.00
_cell_angle_beta 90.00
_cell_angle_gamma 90.00
_space_group_name_H-M_alt 'P 1'
_space_group_IT_number 1
_space_group_name_Hall 'P 1'
loop_
_atom_site_label
_atom_site_fract_x
_atom_site_fract_y
_atom_site_fract_z
Ni1 0.5000 0.6675 0.3322
Ni2 0.5000 0.3322 0.6675
Ho1 0.0000 0.4123 0.9993
Ho2 0.0000 0.9993 0.4123
Gd1 0.0000 0.5871 0.5871
In1 0.5000 0.2700 0.2700
In2 0.5000 0.0014 0.7292
In3 0.5000 0.7292 0.0014
Ag1 0.0000 0.0010 0.0010
# Energy, eV/atom: -4.46
# Magnetization, μB per formula unit: 0.004
# Space group: Amm2


No. 8
# PBE GdHo2In3AgPd2, relaxed
data_GdHo2In3AgPd2
_chemical_formula_sum 'Gd1 Ho2 In3 Ag1 Pd2'
_cell_length_a 3.7865
_cell_length_b 7.8448
_cell_length_c 7.8448
_cell_angle_alpha 120.12
_cell_angle_beta 90.00
_cell_angle_gamma 90.00
_space_group_name_H-M_alt 'P 1'
_space_group_IT_number 1
_space_group_name_Hall 'P 1'
loop_
_atom_site_label
_atom_site_fract_x
_atom_site_fract_y
_atom_site_fract_z
Pd1 0.5000 0.3323 0.6689
Pd2 0.5000 0.6689 0.3323
In1 0.5000 0.2683 0.9987
In2 0.5000 0.7324 0.7324
In3 0.5000 0.9987 0.2683
Ag1 0.0000 0.9992 0.9992
Ho1 0.0000 0.5909 0.0001
Ho2 0.0000 0.0001 0.5909
Gd1 0.0000 0.4091 0.4091
# Energy, eV/atom: -4.60
# Magnetization, μB per formula unit: 0.012
# Space group: Amm2